No. 1
Ac2La5Tm6: optimized geometry, PBE-GGA.

Geometry as POSCAR:
```
Ac2La5Tm6
1.0
3.6688 0.0000 0.0000
0.0000 11.9422 0.0000
0.0000 0.0000 20.9978
Ac Tm La
4 12 10
Cartesian
0.0000 9.6800 4.9057
0.0000 8.2333 15.4046
0.0000 2.2622 16.0920
0.0000 3.7089 5.5931
1.8344 2.3204 12.9321
0.0000 6.6120 3.0438
0.0000 5.1093 11.8724
1.8344 3.6507 2.4332
0.0000 0.8618 1.3736
0.0000 11.0804 19.6242
0.0000 0.6409 7.4551
0.0000 6.8329 9.1253
1.8344 9.6218 8.0657
1.8344 8.2915 18.5646
0.0000 11.3013 13.5427
0.0000 5.3302 17.9540
1.8344 6.7818 6.1895
1.8344 8.3416 11.8810
1.8344 0.0000 10.4989
1.8344 5.9711 0.0000
1.8344 0.8107 4.3094
1.8344 3.6006 9.1168
1.8344 11.1315 16.6884
1.8344 9.5717 1.3821
1.8344 5.1604 14.8083
1.8344 2.3705 19.6156
```

Summary:
Its density of states at the Fermi level is 39.193 states/eV/cell. Its space-group type is Pbam (55). For the formation energy, the calculation gives 0.110 eV/atom.

***

No. 2
Cs4Cd3Br10: optimized geometry, PBE-GGA.

Geometry as POSCAR:
```
Cs4Cd3Br10
1.0
5.5829 0.0000 -0.7581
-0.1029 5.5819 -0.7581
-0.0640 -0.0652 20.4654
Cs Br Cd
4 10 3
Cartesian
3.8050 3.8758 7.0854
2.3122 2.3553 17.0287
1.6109 1.6409 11.8638
3.1037 3.1614 1.9205
1.8917 4.7703 13.9318
4.7346 1.9794 13.9318
2.7914 0.0000 -0.3790
1.1197 1.1405 8.2458
4.2963 4.3762 10.7034
0.3725 0.3794 2.7432
0.6813 3.5374 5.0174
-0.0515 2.7910 -0.3790
5.0434 5.1373 16.2060
3.5242 0.7464 5.0174
0.0000 0.0000 0.0000
0.7561 0.7702 5.5685
4.6598 4.7465 13.3807
```

Summary:
Its space-group type is I4/mmm (139). Its energy relative to the elements, uncorrected is -22.228 eV per formula unit.

***

No. 3
Zn2AgB: optimized geometry, PBE-GGA.

Geometry as POSCAR:
```
Zn2AgB
1.0
4.4913 0.0000 0.0000
0.0000 4.4913 0.0000
2.2456 2.2456 6.8228
Zn B Ag
4 2 2
Cartesian
2.7740 1.1228 1.7057
1.7172 3.3685 1.7057
3.3685 3.9629 5.1171
5.6141 5.0197 5.1171
2.2456 2.2456 0.0000
2.2456 4.4913 3.4114
0.0000 0.0000 0.0000
4.4913 2.2456 3.4114
```

Summary:
Its density of states at the Fermi level is 2.163 states/eV/cell. Its space-group type is I-42d (122). For the formation energy, the calculation gives 0.664 eV/atom.

***

No. 4
FeTcSb6: optimized geometry, PBE-GGA.

Geometry as POSCAR:
```
FeTcSb6
1.0
7.6230 -0.0228 -2.6982
-3.7700 6.6284 -2.6911
-0.0108 0.0019 8.1148
Sb Fe Tc
12 2 2
Cartesian
5.1694 2.2143 -1.7104
0.7223 3.2389 -0.9075
3.8543 4.4317 0.0672
3.1198 3.3686 3.6329
3.1265 1.0716 0.9852
-1.8599 5.6147 -0.0045
1.8262 1.1507 5.4424
5.7021 0.9928 2.7299
-1.3272 4.3932 4.4359
2.0160 5.4568 -2.7170
0.7157 5.5359 1.7403
-0.0121 2.1758 2.6582
1.9211 3.3038 1.3627
-0.0054 0.0010 4.0574
-1.8850 3.3142 -1.3455
3.8115 -0.0114 -1.3491
```

Summary:
Its density of states at the Fermi level is 15.050 states/eV/cell. Its space-group type is C2/m (12). Its energy relative to the elements, uncorrected is 0.330 eV per formula unit.